VASP calculation (PBEsol) on KCaTi3 after structural relaxation.

Computed properties:
- Crystal system: cubic
- Electronic total energy: -3.8074 eV per atom
- Fermi-level density of states: 1.75 states/eV per atom
- Formation energy from the elements: 1.839 eV/atom
- V: 26.26 Å³ per atom
- Symmetry: No. 221

Lattice parameters (Å, degrees): 5.083 5.083 5.083 90.00 90.00 90.00
Atoms (fractional coordinates):
K: 0.000 0.000 0.000
Ca: 0.500 0.500 0.500
Ti: 0.000 0.500 0.500
Ti: 0.500 0.000 0.500
Ti: 0.500 0.500 0.000